Density functional theory data (PBE) for an optimized crystal structure of Ca3BiPd.

Summary:
The calculation puts the energy above the lowest structure with this stoichiometry at 40 meV/atom. As for the crystal system: cubic. As for the calculated total energy: -3.555 eV/atom. Its space group is Pm-3m (221). The formation energy is -0.539 eV per atom.

abc: 5.483 5.483 5.483
angles: 90.00 90.00 90.00
Atoms (fractional coordinates):
Ca 0.000 0.500 0.000
Pd 0.000 0.000 0.000
Ca 0.000 0.000 0.500
Ca 0.500 0.000 0.000
Bi 0.500 0.500 0.500